# PBE with a Hubbard U NiPPbO2, relaxed
data_NiPPbO2
_cell_length_a 4.100
_cell_length_b 4.100
_cell_length_c 5.646
_cell_angle_alpha 90.00
_cell_angle_beta 90.00
_cell_angle_gamma 90.00
_space_group_name_H-M_alt 'P 4/m m m'
_space_group_IT_number 123
_space_group_name_Hall '-P 4 2'
loop_
_atom_site_label
_atom_site_type_symbol
_atom_site_fract_x
_atom_site_fract_y
_atom_site_fract_z
Ni1 Ni 0.000 0.000 0.000
P1 P 0.500 0.500 0.000
Pb1 Pb 0.500 0.500 0.500
O1 O 0.000 0.500 0.500
# * spin magnetization: 0.949 μB/cell
# * energy above the most stable polymorph in this dataset: 539.1 meV per atom